# 1
## Ac3InAg3 (GGA-PBE)

Data for a relaxed structure of Ac3InAg3.

Cell: 6.4805 6.4805 15.9638 Å, 108.26 108.26 43.02°
Last column: nearest neighbours and their distance in Å.
Sites, in units of the cell vectors:
Ac1 0.0281 0.0281 0.3831  6 Ag 3.38-3.48, 4 In 3.47-3.63
Ac2 0.1086 0.1086 0.9207  7 Ag 3.40-3.54
Ac3 0.2428 0.2428 0.2289  6 Ag 3.39-3.50, 2 In 3.61
Ac4 0.7572 0.7572 0.7711  6 Ag 3.39-3.50, 2 In 3.61
Ac5 0.8914 0.8914 0.0793  7 Ag 3.40-3.54
Ac6 0.9719 0.9719 0.6169  6 Ag 3.38-3.48, 4 In 3.47-3.63
In1 0.2562 0.2562 0.6003  4 Ag 2.82-3.04
In2 0.7438 0.7438 0.3997  4 Ag 2.82-3.04
Ag1 0.3730 0.3730 0.4583  3 In 2.82-3.04, 1 Ag 2.90
Ag2 0.3916 0.3916 0.9231  2 Ag 2.92
Ag3 0.4695 0.4695 0.7684  1 Ag 2.92, 1 In 3.03
Ag4 0.5305 0.5305 0.2316  1 Ag 2.92, 1 In 3.03
Ag5 0.6084 0.6084 0.0769  2 Ag 2.92
Ag6 0.6270 0.6270 0.5417  3 In 2.82-3.04, 1 Ag 2.90

## Properties
Volume: 430.66 Å³/cell
Formation enthalpy at 0 K: -0.292 eV/atom
Space-group type: C2/m, No. 12

=====

# 2
## Ac8InAg2 (GGA-PBE)

Data for a relaxed structure of Ac8InAg2.

Cell: 9.3647 9.3647 9.1913 Å, 117.35 117.35 36.52°
Last column: nearest neighbours and their distance in Å.
Sites, in units of the cell vectors:
Ac1 0.0685 0.0685 0.2261  1 Ag 3.32, 3 Ac 3.66-3.68
Ac2 0.1421 0.1421 0.7065  3 Ag 3.32-3.66
Ac3 0.3151 0.3151 0.5264  1 Ag 3.31, 1 In 3.41, 4 Ac 3.62-3.68
Ac4 0.3975 0.3975 0.0410  3 Ag 3.49-3.53, 1 In 3.70
Ac5 0.6025 0.6025 0.9590  3 Ag 3.49-3.53, 1 In 3.70
Ac6 0.6849 0.6849 0.4736  1 Ag 3.31, 1 In 3.41, 4 Ac 3.62-3.68
Ac7 0.8579 0.8579 0.2935  3 Ag 3.32-3.66
Ac8 0.9315 0.9315 0.7739  1 Ag 3.32, 3 Ac 3.66-3.68
In1 0.5000 0.5000 0.5000  8 Ac 3.41-3.74
Ag1 0.2205 0.2205 0.1156  8 Ac 3.31-3.66
Ag2 0.7795 0.7795 0.8844  8 Ac 3.31-3.66

## Properties
Volume: 419.78 Å³/cell
Formation enthalpy at 0 K: -0.122 eV/atom
Space-group type: C2/m, No. 12

=====

# 3
## AcIn2Ag (GGA-PBE)

Data for a relaxed structure of AcIn2Ag.

Cell: 6.2716 6.2716 7.5088 Å, 90.00 90.00 132.61°
Last column: nearest neighbours and their distance in Å.
Sites, in units of the cell vectors:
Ac1 0.0903 0.9097 0.7500  3 Ag 3.35-3.47, 6 In 3.42-3.56
Ac2 0.9097 0.0903 0.2500  3 Ag 3.35-3.47, 6 In 3.42-3.56
In1 0.3722 0.6278 0.5521  2 In 2.97-3.04, 3 Ag 3.00-3.05
In2 0.3722 0.6278 0.9479  2 In 2.97-3.04, 3 Ag 3.00-3.05
In3 0.6278 0.3722 0.0521  2 In 2.97-3.04, 3 Ag 3.00-3.05
In4 0.6278 0.3722 0.4479  2 In 2.97-3.04, 3 Ag 3.00-3.05
Ag1 0.2015 0.7985 0.2500  6 In 3.00-3.05, 1 Ac 3.35
Ag2 0.7985 0.2015 0.7500  6 In 3.00-3.05, 1 Ac 3.35

## Properties
Volume: 217.36 Å³/cell
Formation enthalpy at 0 K: -0.376 eV/atom
Space-group type: Cmcm, No. 63

=====

# 4
## Ac2In3Ag5 (GGA-PBE)

Data for a relaxed structure of Ac2In3Ag5.

Cell: 9.4658 9.4658 9.4658 Å, 104.74 89.22 139.40°
Last column: nearest neighbours and their distance in Å.
Sites, in units of the cell vectors:
Ac1 0.1272 0.2302 0.3574  10 Ag 3.48-3.74, 4 In 3.57-3.85
Ac2 0.3728 0.7302 0.1029  10 Ag 3.48-3.74, 4 In 3.57-3.85
Ac3 0.6272 0.2698 0.8971  10 Ag 3.48-3.74, 4 In 3.57-3.85
Ac4 0.8728 0.7698 0.6426  10 Ag 3.48-3.74, 4 In 3.57-3.85
In1 0.1399 0.8889 0.0288  5 Ag 2.73-2.81
In2 0.2500 0.7500 0.5000  6 Ag 2.86-2.97
In3 0.3601 0.3889 0.7491  5 Ag 2.73-2.81
In4 0.6399 0.6111 0.2509  5 Ag 2.73-2.81
In5 0.7500 0.2500 0.5000  6 Ag 2.86-2.97
In6 0.8601 0.1111 0.9712  5 Ag 2.73-2.81
Ag1 0.0294 0.7500 0.2794  3 In 2.81-2.97, 2 Ag 2.84
Ag2 0.1116 0.6552 0.7668  3 In 2.73-2.86, 2 Ag 2.84
Ag3 0.2500 0.2500 0.0000  4 In 2.81
Ag4 0.3884 0.1552 0.5437  3 In 2.73-2.86, 2 Ag 2.84
Ag5 0.4706 0.7500 0.7206  3 In 2.81-2.97, 2 Ag 2.84
Ag6 0.5294 0.2500 0.2794  3 In 2.81-2.97, 2 Ag 2.84
Ag7 0.6116 0.8448 0.4563  3 In 2.73-2.86, 2 Ag 2.84
Ag8 0.7500 0.7500 0.0000  4 In 2.81
Ag9 0.8884 0.3448 0.2332  3 In 2.73-2.86, 2 Ag 2.84
Ag10 0.9706 0.2500 0.7206  3 In 2.81-2.97, 2 Ag 2.84

## Properties
Volume: 511.65 Å³/cell
Formation enthalpy at 0 K: -0.272 eV/atom
Space-group type: Ibam, No. 72

=====

# 5
## Ac3In9Ag2 (GGA-PBE)

Data for a relaxed structure of Ac3In9Ag2.

Cell: 9.3295 9.3295 9.3295 Å, 149.69 105.31 82.68°
Last column: nearest neighbours and their distance in Å.
Sites, in units of the cell vectors:
Ac1 0.0000 0.0000 0.0000  12 In 3.63-3.64
Ac2 0.3174 0.3174 0.0000  2 Ag 3.50, 10 In 3.53-3.59
Ac3 0.6826 0.6826 0.0000  2 Ag 3.50, 10 In 3.53-3.59
In1 0.0328 0.6624 0.3704  1 Ag 2.90, 4 In 2.93-3.07
In2 0.1438 0.8677 0.2761  4 In 2.98-3.14, 2 Ag 3.07
In3 0.2920 0.6624 0.6296  1 Ag 2.90, 4 In 2.93-3.07
In4 0.4084 0.1323 0.2761  4 In 2.98-3.14, 2 Ag 3.07
In5 0.5000 0.0000 0.5000  4 In 3.14, 4 Ag 3.42
In6 0.5916 0.8677 0.7239  4 In 2.98-3.14, 2 Ag 3.07
In7 0.7080 0.3376 0.3704  1 Ag 2.90, 4 In 2.93-3.07
In8 0.8562 0.1323 0.7239  4 In 2.98-3.14, 2 Ag 3.07
In9 0.9672 0.3376 0.6296  1 Ag 2.90, 4 In 2.93-3.07
Ag1 0.2886 0.5000 0.7886  6 In 2.90-3.07
Ag2 0.7114 0.5000 0.2114  6 In 2.90-3.07

## Properties
Volume: 386.75 Å³/cell
Formation enthalpy at 0 K: -0.355 eV/atom
Space-group type: Immm, No. 71

=====

# 6
## AcIn6Ag4 (GGA-PBE)

Data for a relaxed structure of AcIn6Ag4.

Cell: 7.3512 7.3512 7.3512 Å, 120.12 120.12 89.79°
Last column: nearest neighbours and their distance in Å.
Sites, in units of the cell vectors:
Ac1 0.0000 0.0000 0.0000  4 Ag 3.58, 12 In 3.67-3.81
In1 0.0000 0.5000 0.5000  4 Ag 2.87
In2 0.1030 0.1030 0.6120  4 Ag 2.70-2.96
In3 0.4910 0.4910 0.3880  4 Ag 2.70-2.96
In4 0.5000 0.0000 0.5000  4 Ag 2.87
In5 0.5090 0.8970 0.0000  4 Ag 2.70-2.96
In6 0.8970 0.5090 0.0000  4 Ag 2.70-2.96
Ag1 0.2567 0.5847 0.0000  6 In 2.70-2.96, 2 Ag 2.92
Ag2 0.4153 0.4153 0.6721  6 In 2.70-2.96, 2 Ag 2.92
Ag3 0.5847 0.2567 0.0000  6 In 2.70-2.96, 2 Ag 2.92
Ag4 0.7433 0.7433 0.3279  6 In 2.70-2.96, 2 Ag 2.92

## Properties
Volume: 280.38 Å³/cell
Formation enthalpy at 0 K: -0.102 eV/atom
Space-group type: I-42m, No. 121

=====

# 7
## Ac6InAg2 (GGA-PBE)

Data for a relaxed structure of Ac6InAg2.

Cell: 9.5621 9.5621 9.5621 Å, 112.19 109.75 106.52°
Last column: nearest neighbours and their distance in Å.
Sites, in units of the cell vectors:
Ac1 0.0479 0.2429 0.8050  2 Ag 3.29-3.68, 2 In 3.51-3.64
Ac2 0.1818 0.2737 0.4556  3 Ag 3.44-3.49, 1 In 3.54
Ac3 0.1818 0.7263 0.9081  3 Ag 3.44-3.49, 1 In 3.54
Ac4 0.3240 0.0318 0.7079  3 Ag 3.18-3.39
Ac5 0.3240 0.6161 0.2921  3 Ag 3.18-3.39
Ac6 0.4379 0.2429 0.1950  2 Ag 3.29-3.68, 2 In 3.51-3.64
Ac7 0.5621 0.7571 0.8050  2 Ag 3.29-3.68, 2 In 3.51-3.64
Ac8 0.6760 0.3839 0.7079  3 Ag 3.18-3.39
Ac9 0.6760 0.9682 0.2921  3 Ag 3.18-3.39
Ac10 0.8182 0.2737 0.0919  3 Ag 3.44-3.49, 1 In 3.54
Ac11 0.8182 0.7263 0.5444  3 Ag 3.44-3.49, 1 In 3.54
Ac12 0.9521 0.7571 0.1950  2 Ag 3.29-3.68, 2 In 3.51-3.64
In1 0.0000 0.0000 0.0000  8 Ac 3.51-3.54, 2 Ag 3.91
In2 0.5000 0.5000 0.0000  8 Ac 3.64-3.71
Ag1 0.1242 0.6242 0.5000  1 Ag 2.84
Ag2 0.3552 0.0000 0.3552  1 Ag 3.19, 8 Ac 3.29-3.49
Ag3 0.6448 0.0000 0.6448  1 Ag 3.19, 8 Ac 3.29-3.49
Ag4 0.8758 0.3758 0.5000  1 Ag 2.84

## Properties
Volume: 671.38 Å³/cell
Formation enthalpy at 0 K: -0.188 eV/atom
Space-group type: Immm, No. 71

=====

# 8
## Ac4In12Ag (GGA-PBE)

Data for a relaxed structure of Ac4In12Ag.

Cell: 8.5831 8.5831 8.5831 Å, 109.47 109.47 109.47°
Last column: nearest neighbours and their distance in Å.
Sites, in units of the cell vectors:
Ac1 0.0000 0.0000 0.5000  12 In 3.50-3.53
Ac2 0.0000 0.5000 0.0000  12 In 3.50-3.53
Ac3 0.5000 0.0000 0.0000  12 In 3.50-3.53
Ac4 0.5000 0.5000 0.5000  12 In 3.50-3.53
In1 0.0000 0.2942 0.2942  1 Ag 2.92, 4 In 3.21
In2 0.0000 0.7058 0.7058  1 Ag 2.92, 4 In 3.21
In3 0.2500 0.5000 0.7500  8 In 3.21-3.50, 4 Ac 3.50
In4 0.2500 0.7500 0.5000  8 In 3.21-3.50, 4 Ac 3.50
In5 0.2942 0.0000 0.2942  1 Ag 2.92, 4 In 3.21
In6 0.2942 0.2942 0.0000  1 Ag 2.92, 4 In 3.21
In7 0.5000 0.2500 0.7500  8 In 3.21-3.50, 4 Ac 3.50
In8 0.5000 0.7500 0.2500  8 In 3.21-3.50, 4 Ac 3.50
In9 0.7058 0.0000 0.7058  1 Ag 2.92, 4 In 3.21
In10 0.7058 0.7058 0.0000  1 Ag 2.92, 4 In 3.21
In11 0.7500 0.2500 0.5000  8 In 3.21-3.50, 4 Ac 3.50
In12 0.7500 0.5000 0.2500  8 In 3.21-3.50, 4 Ac 3.50
Ag1 0.0000 0.0000 0.0000  6 In 2.92

## Properties
Volume: 486.75 Å³/cell
Formation enthalpy at 0 K: -0.392 eV/atom
Space-group type: Im-3m, No. 229